Entry from the Alexandria database: a relaxed PaTcAs crystal (PBE-GGA).

Output
N(E_F), states/eV per atom: 0.56
Formation energy from the elements, eV per atom: -0.426

The structure in CIF format:
```
data_PaTcAs
_chemical_formula_sum 'Pa4 Tc4 As4'
_symmetry_space_group_name_H-M 'C m c m'
_symmetry_Int_Tables_number 63
_symmetry_space_group_name_Hall '-C 2c 2'
_cell_length_a 3.8914
_cell_length_b 13.8397
_cell_length_c 4.8857
_cell_angle_alpha 90.00
_cell_angle_beta 90.00
_cell_angle_gamma 90.00
loop_
_atom_site_label
_atom_site_type_symbol
_atom_site_fract_x
_atom_site_fract_y
_atom_site_fract_z
Pa1 Pa 0.0000 0.1280 0.2500
Tc1 Tc 0.0000 0.5000 0.0000
As1 As 0.0000 0.3349 0.2500
```



Entry from the Alexandria database: a relaxed Ti2PW crystal (PBE-GGA).

Output
N(E_F), states/eV per atom: 1.27
Formation energy from the elements, eV per atom: 0.064

The structure in CIF format:
```
data_Ti2PW
_chemical_formula_sum 'Ti8 P4 W4'
_symmetry_space_group_name_H-M 'I -4 2 d'
_symmetry_Int_Tables_number 122
_symmetry_space_group_name_Hall 'I -4 2bw'
_cell_length_a 7.3445
_cell_length_b 7.3445
_cell_length_c 4.8480
_cell_angle_alpha 90.00
_cell_angle_beta 90.00
_cell_angle_gamma 90.00
loop_
_atom_site_label
_atom_site_type_symbol
_atom_site_fract_x
_atom_site_fract_y
_atom_site_fract_z
Ti1 Ti 0.2001 0.2500 0.1250
P1 P 0.0000 0.0000 0.0000
W1 W 0.0000 0.0000 0.5000
```



Entry from the Alexandria database: a relaxed LaRhSe2 crystal (PBE-GGA).

Output
ΔE_f (raw), eV per atom: -0.77
N(E_F), states/eV per atom: 0.47

The structure in CIF format:
```
data_LaRhSe2
_chemical_formula_sum 'La2 Rh2 Se4'
_symmetry_space_group_name_H-M 'C m m m'
_symmetry_Int_Tables_number 65
_symmetry_space_group_name_Hall '-C 2 2'
_cell_length_a 4.0955
_cell_length_b 6.5993
_cell_length_c 6.9658
_cell_angle_alpha 90.00
_cell_angle_beta 90.00
_cell_angle_gamma 90.00
loop_
_atom_site_label
_atom_site_type_symbol
_atom_site_fract_x
_atom_site_fract_y
_atom_site_fract_z
La1 La 0.0000 0.0000 0.0000
Rh1 Rh 0.0000 0.0000 0.5000
Se1 Se 0.0000 0.5000 0.2873
```



Entry from the Alexandria database: a relaxed RbCoPbCl5 crystal (PBE-GGA).

Output
ΔE_f (raw), eV per atom: -1.15

The structure in CIF format:
```
data_RbCoPbCl5
_chemical_formula_sum 'Rb4 Co4 Pb4 Cl20'
_symmetry_space_group_name_H-M 'C 1 2/c 1'
_symmetry_Int_Tables_number 15
_symmetry_space_group_name_Hall '-C 2yc'
_cell_length_a 9.2630
_cell_length_b 12.4215
_cell_length_c 10.1890
_cell_angle_alpha 90.00
_cell_angle_beta 113.75
_cell_angle_gamma 90.00
loop_
_atom_site_label
_atom_site_type_symbol
_atom_site_fract_x
_atom_site_fract_y
_atom_site_fract_z
Rb1 Rb 0.0000 0.1484 0.2500
Co1 Co 0.0000 0.1856 0.7500
Pb1 Pb 0.0000 0.5000 0.0000
Cl1 Cl 0.0000 0.4049 0.2500
Cl2 Cl 0.1163 0.2881 0.6356
Cl3 Cl 0.1703 0.0770 0.9231
```



Entry from the Alexandria database: a relaxed Ho4CSe2 crystal (PBE-GGA).

Output
ΔE_f (raw), eV per atom: -1.10
N(E_F), states/eV per atom: 0.65

The structure in CIF format:
```
data_Ho4CSe2
_chemical_formula_sum 'Ho8 C2 Se4'
_symmetry_space_group_name_H-M 'C m m m'
_symmetry_Int_Tables_number 65
_symmetry_space_group_name_Hall '-C 2 2'
_cell_length_a 8.0840
_cell_length_b 11.1754
_cell_length_c 3.8381
_cell_angle_alpha 90.00
_cell_angle_beta 90.00
_cell_angle_gamma 90.00
loop_
_atom_site_label
_atom_site_type_symbol
_atom_site_fract_x
_atom_site_fract_y
_atom_site_fract_z
Ho1 Ho 0.0000 0.2200 0.0000
Ho2 Ho 0.2048 0.0000 0.5000
C1 C 0.0000 0.0000 0.0000
Se1 Se 0.2500 0.2500 0.5000
```



Entry from the Alexandria database: a relaxed Sr2Y2Mg crystal (PBE-GGA).

Output
N(E_F), states/eV per atom: 1.60
Formation energy from the elements, eV per atom: 0.296

The structure in CIF format:
```
data_Sr2Y2Mg
_chemical_formula_sum 'Sr4 Y4 Mg2'
_symmetry_space_group_name_H-M 'P 4/m b m'
_symmetry_Int_Tables_number 127
_symmetry_space_group_name_Hall '-P 4 2ab'
_cell_length_a 8.2133
_cell_length_b 8.2133
_cell_length_c 5.9530
_cell_angle_alpha 90.00
_cell_angle_beta 90.00
_cell_angle_gamma 90.00
loop_
_atom_site_label
_atom_site_type_symbol
_atom_site_fract_x
_atom_site_fract_y
_atom_site_fract_z
Sr1 Sr 0.1686 0.3314 0.0000
Y1 Y 0.1421 0.6421 0.5000
Mg1 Mg 0.0000 0.0000 0.5000
```



Entry from the Alexandria database: a relaxed SiTe2 crystal (PBE-GGA).

Output
ΔE_f (raw), eV per atom: 0.39
N(E_F), states/eV per atom: 0.61

The structure in CIF format:
```
data_SiTe2
_chemical_formula_sum 'Si4 Te8'
_symmetry_space_group_name_H-M 'P 63/m m c'
_symmetry_Int_Tables_number 194
_symmetry_space_group_name_Hall '-P 6c 2c'
_cell_length_a 8.2304
_cell_length_b 8.2304
_cell_length_c 8.0183
_cell_angle_alpha 90.00
_cell_angle_beta 90.00
_cell_angle_gamma 120.00
loop_
_atom_site_label
_atom_site_type_symbol
_atom_site_fract_x
_atom_site_fract_y
_atom_site_fract_z
Si1 Si 0.3333 0.6667 0.0813
Te1 Te 0.0000 0.0000 0.0000
Te2 Te 0.1749 0.3499 0.2500
```



Entry from the Alexandria database: a relaxed AgRu3 crystal (PBE-GGA).

Output
N(E_F), states/eV per atom: 1.30
Formation energy from the elements, eV per atom: 0.708

The structure in CIF format:
```
data_AgRu3
_chemical_formula_sum 'Ag2 Ru6'
_symmetry_space_group_name_H-M 'P m -3 n'
_symmetry_Int_Tables_number 223
_symmetry_space_group_name_Hall '-P 4n 2 3'
_cell_length_a 4.9428
_cell_length_b 4.9428
_cell_length_c 4.9428
_cell_angle_alpha 90.00
_cell_angle_beta 90.00
_cell_angle_gamma 90.00
loop_
_atom_site_label
_atom_site_type_symbol
_atom_site_fract_x
_atom_site_fract_y
_atom_site_fract_z
Ag1 Ag 0.0000 0.0000 0.0000
Ru1 Ru 0.0000 0.2500 0.5000
```



Entry from the Alexandria database: a relaxed SrSi2Ni crystal (PBE-GGA).

Output
ΔE_f (raw), eV per atom: 0.28
N(E_F), states/eV per atom: 0.07

The structure in CIF format:
```
data_SrSi2Ni
_chemical_formula_sum 'Sr4 Si8 Ni4'
_symmetry_space_group_name_H-M 'F m -3 m'
_symmetry_Int_Tables_number 225
_symmetry_space_group_name_Hall '-F 4 2 3'
_cell_length_a 6.6518
_cell_length_b 6.6518
_cell_length_c 6.6518
_cell_angle_alpha 90.00
_cell_angle_beta 90.00
_cell_angle_gamma 90.00
loop_
_atom_site_label
_atom_site_type_symbol
_atom_site_fract_x
_atom_site_fract_y
_atom_site_fract_z
Sr1 Sr 0.0000 0.0000 0.0000
Si1 Si 0.2500 0.2500 0.2500
Ni1 Ni 0.0000 0.0000 0.5000
```



Entry from the Alexandria database: a relaxed NdNpAsO2 crystal (PBE-GGA).

Output
ΔE_f (raw), eV per atom: -2.37
N(E_F), states/eV per atom: 1.79

The structure in CIF format:
```
data_NdNpAsO2
_chemical_formula_sum 'Nd2 Np2 As2 O4'
_symmetry_space_group_name_H-M 'I 4 m m'
_symmetry_Int_Tables_number 107
_symmetry_space_group_name_Hall 'I 4 -2'
_cell_length_a 3.8599
_cell_length_b 3.8599
_cell_length_c 12.3421
_cell_angle_alpha 90.00
_cell_angle_beta 90.00
_cell_angle_gamma 90.00
loop_
_atom_site_label
_atom_site_type_symbol
_atom_site_fract_x
_atom_site_fract_y
_atom_site_fract_z
Nd1 Nd 0.0000 0.0000 0.0000
Np1 Np 0.0000 0.0000 0.2943
As1 As 0.0000 0.0000 0.6466
O1 O 0.0000 0.5000 0.3854
```



Entry from the Alexandria database: a relaxed Nd2Dy2Te7 crystal (PBE-GGA).

Output
ΔE_f (raw), eV per atom: -1.24
N(E_F), states/eV per atom: 0.46

The structure in CIF format:
```
data_Nd2Dy2Te7
_chemical_formula_sum 'Nd4 Dy4 Te14'
_symmetry_space_group_name_H-M 'I m m 2'
_symmetry_Int_Tables_number 44
_symmetry_space_group_name_Hall 'I 2 -2'
_cell_length_a 4.3223
_cell_length_b 16.0216
_cell_length_c 9.9189
_cell_angle_alpha 90.00
_cell_angle_beta 90.00
_cell_angle_gamma 90.00
loop_
_atom_site_label
_atom_site_type_symbol
_atom_site_fract_x
_atom_site_fract_y
_atom_site_fract_z
Nd1 Nd 0.0000 0.2420 0.0000
Dy1 Dy 0.0000 0.0000 0.7723
Dy2 Dy 0.0000 0.5000 0.8288
Te1 Te 0.0000 0.0000 0.0950
Te2 Te 0.0000 0.1072 0.4971
Te3 Te 0.0000 0.3261 0.7010
Te4 Te 0.0000 0.3596 0.3099
```



Entry from the Alexandria database: a relaxed Pr2CdAgHg4 crystal (PBE-GGA).

Output
N(E_F), states/eV per atom: 0.43
Formation energy from the elements, eV per atom: -0.387

The structure in CIF format:
```
data_Pr2CdAgHg4
_chemical_formula_sum 'Pr6 Cd3 Ag3 Hg12'
_symmetry_space_group_name_H-M 'R -3 m'
_symmetry_Int_Tables_number 166
_symmetry_space_group_name_Hall '-R 3 2"'
_cell_length_a 5.1766
_cell_length_b 5.1766
_cell_length_c 25.3607
_cell_angle_alpha 90.00
_cell_angle_beta 90.00
_cell_angle_gamma 120.00
loop_
_atom_site_label
_atom_site_type_symbol
_atom_site_fract_x
_atom_site_fract_y
_atom_site_fract_z
Pr1 Pr 0.0000 0.0000 0.2503
Cd1 Cd 0.0000 0.0000 0.0000
Ag1 Ag 0.0000 0.0000 0.5000
Hg1 Hg 0.0000 0.0000 0.1268
Hg2 Hg 0.0000 0.0000 0.3767
```



What did the fifth record say?
Entry from the Alexandria database: a relaxed Ho4CSe2 crystal (PBE-GGA).

Output
ΔE_f (raw), eV per atom: -1.10
N(E_F), states/eV per atom: 0.65

The structure in CIF format:
```
data_Ho4CSe2
_chemical_formula_sum 'Ho8 C2 Se4'
_symmetry_space_group_name_H-M 'C m m m'
_symmetry_Int_Tables_number 65
_symmetry_space_group_name_Hall '-C 2 2'
_cell_length_a 8.0840
_cell_length_b 11.1754
_cell_length_c 3.8381
_cell_angle_alpha 90.00
_cell_angle_beta 90.00
_cell_angle_gamma 90.00
loop_
_atom_site_label
_atom_site_type_symbol
_atom_site_fract_x
_atom_site_fract_y
_atom_site_fract_z
Ho1 Ho 0.0000 0.2200 0.0000
Ho2 Ho 0.2048 0.0000 0.5000
C1 C 0.0000 0.0000 0.0000
Se1 Se 0.2500 0.2500 0.5000
```



What did the second record say?
Entry from the Alexandria database: a relaxed Ti2PW crystal (PBE-GGA).

Output
N(E_F), states/eV per atom: 1.27
Formation energy from the elements, eV per atom: 0.064

The structure in CIF format:
```
data_Ti2PW
_chemical_formula_sum 'Ti8 P4 W4'
_symmetry_space_group_name_H-M 'I -4 2 d'
_symmetry_Int_Tables_number 122
_symmetry_space_group_name_Hall 'I -4 2bw'
_cell_length_a 7.3445
_cell_length_b 7.3445
_cell_length_c 4.8480
_cell_angle_alpha 90.00
_cell_angle_beta 90.00
_cell_angle_gamma 90.00
loop_
_atom_site_label
_atom_site_type_symbol
_atom_site_fract_x
_atom_site_fract_y
_atom_site_fract_z
Ti1 Ti 0.2001 0.2500 0.1250
P1 P 0.0000 0.0000 0.0000
W1 W 0.0000 0.0000 0.5000
```